1.
## Tb2Ga2Ni3 (PBE)

Data for a geometry-optimized Tb2Ga2Ni3 structure.

a b c (Å): 10.534 3.760 6.685
angles (deg): 90.00 114.00 90.00
Space group C2/m (No. 12)
Unique sites:
1 Tb 0.125 0.000 0.264 (multiplicity 4)
2 Ga 0.156 0.000 0.743 (multiplicity 4)
3 Ni 0.000 0.500 0.500 (multiplicity 2)
4 Ni 0.108 0.500 0.934 (multiplicity 4)

As for the formation energy: -0.52 eV/atom.

***

2.
## AcBSb (PBE)

Data for a geometry-optimized AcBSb structure.

a b c (Å): 8.098 5.551 7.507
angles (deg): 90.00 90.00 90.00
Space group Pnma (No. 62)
Unique sites:
1 Ac 0.015 0.250 0.220 (multiplicity 4)
2 B 0.008 0.250 0.848 (multiplicity 4)
3 Sb 0.220 0.250 0.638 (multiplicity 4)

The total energy comes out at -4.881 eV/atom.

***

> What is the formula in the second record?

AcBSb

***

> What is the formula in the second record?

AcBSb